A relaxed structure of Ca4TbDy3Se8, computed with PBE.

```
data_Ca4TbDy3Se8
_space_group_name_H-M_alt 'P 1'
_space_group_IT_number 1
_cell_length_a 8.2117
_cell_length_b 8.3220
_cell_length_c 8.2128
_cell_angle_alpha 119.56
_cell_angle_beta 120.00
_cell_angle_gamma 90.00
loop_
_space_group_symop_operation_xyz
'x,y,z'
loop_
_atom_site_label
_atom_site_type_symbol
_atom_site_fract_x
_atom_site_fract_y
_atom_site_fract_z
Ca1 Ca 0.5000 0.0000 0.0000
Ca2 Ca 0.5000 0.0000 0.5000
Ca3 Ca 0.0000 0.0000 0.0000
Ca4 Ca 0.0000 0.0000 0.5000
Tb1 Tb 0.0000 0.5000 0.0000
Dy1 Dy 0.5000 0.5000 0.0000
Dy2 Dy 0.5000 0.5000 0.5000
Dy3 Dy 0.0000 0.5000 0.5000
Se1 Se 0.2491 0.7460 0.9969
Se2 Se 0.2492 0.7460 0.4984
Se3 Se 0.2516 0.2547 0.5031
Se4 Se 0.7478 0.7460 0.9969
Se5 Se 0.2522 0.2540 0.0031
Se6 Se 0.7484 0.7453 0.4969
Se7 Se 0.7508 0.2540 0.5016
Se8 Se 0.7509 0.2540 0.0031
```

Raw total energy ... -84.34 eV/f.u.
Density ... 6.0 g cm⁻³
V ... 25.0 Å³/atom

=====

A relaxed structure of CaTb3Dy2Se6, computed with PBE.

```
data_CaTb3Dy2Se6
_space_group_name_H-M_alt 'P 1'
_space_group_IT_number 1
_cell_length_a 4.0879
_cell_length_b 8.2403
_cell_length_c 9.1714
_cell_angle_alpha 103.09
_cell_angle_beta 102.88
_cell_angle_gamma 90.00
loop_
_space_group_symop_operation_xyz
'x,y,z'
loop_
_atom_site_label
_atom_site_type_symbol
_atom_site_fract_x
_atom_site_fract_y
_atom_site_fract_z
Ca1 Ca 0.5000 0.0000 0.0000
Tb1 Tb 0.5000 0.5000 0.0000
Tb2 Tb 0.8330 0.1727 0.6659
Tb3 Tb 0.1670 0.8273 0.3341
Dy1 Dy 0.8299 0.6598 0.6599
Dy2 Dy 0.1701 0.3402 0.3401
Se1 Se 0.3335 0.9166 0.6670
Se2 Se 0.6653 0.5814 0.3306
Se3 Se 0.6665 0.0834 0.3330
Se4 Se 0.0017 0.2509 0.0034
Se5 Se 0.9983 0.7491 0.9966
Se6 Se 0.3347 0.4186 0.6694
```

Raw total energy ... -67.64 eV/f.u.
Density ... 7.5 g cm⁻³
V ... 24.4 Å³/atom

=====

A relaxed structure of Ca3TbDy2Se6, computed with PBE.

```
data_Ca3TbDy2Se6
_space_group_name_H-M_alt 'P 1'
_space_group_IT_number 1
_cell_length_a 7.1170
_cell_length_b 7.1170
_cell_length_c 7.2394
_cell_angle_alpha 99.46
_cell_angle_beta 99.46
_cell_angle_gamma 119.95
loop_
_space_group_symop_operation_xyz
'x,y,z'
loop_
_atom_site_label
_atom_site_type_symbol
_atom_site_fract_x
_atom_site_fract_y
_atom_site_fract_z
Ca1 Ca 0.1663 0.8337 0.5000
Ca2 Ca 0.8337 0.1663 0.5000
Ca3 Ca 0.5000 0.5000 0.5000
Tb1 Tb 0.0000 0.0000 0.0000
Dy1 Dy 0.3333 0.6667 0.0000
Dy2 Dy 0.6667 0.3333 0.0000
Se1 Se 0.9181 0.5835 0.7540
Se2 Se 0.7475 0.7475 0.2460
Se3 Se 0.0819 0.4165 0.2460
Se4 Se 0.5835 0.9181 0.7540
Se5 Se 0.2525 0.2525 0.7540
Se6 Se 0.4165 0.0819 0.2460
```

Raw total energy ... -63.27 eV/f.u.
Density ... 6.0 g cm⁻³
V ... 25.0 Å³/atom

=====

A relaxed structure of CaTb3Dy4Se8, computed with PBE.

```
data_CaTb3Dy4Se8
_space_group_name_H-M_alt 'P 1'
_space_group_IT_number 1
_cell_length_a 8.1905
_cell_length_b 8.1864
_cell_length_c 8.1900
_cell_angle_alpha 120.01
_cell_angle_beta 120.00
_cell_angle_gamma 90.00
loop_
_space_group_symop_operation_xyz
'x,y,z'
loop_
_atom_site_label
_atom_site_type_symbol
_atom_site_fract_x
_atom_site_fract_y
_atom_site_fract_z
Ca1 Ca 0.0000 0.5000 0.0000
Tb1 Tb 0.5000 0.5000 0.0000
Tb2 Tb 0.5000 0.5000 0.5000
Tb3 Tb 0.0000 0.5000 0.5000
Dy1 Dy 0.5000 0.0000 0.0000
Dy2 Dy 0.5000 0.0000 0.5000
Dy3 Dy 0.0000 0.0000 0.0000
Dy4 Dy 0.0000 0.0000 0.5000
Se1 Se 0.2505 0.7518 0.0014
Se2 Se 0.2505 0.7518 0.5010
Se3 Se 0.2493 0.2480 0.4986
Se4 Se 0.7508 0.7518 0.0014
Se5 Se 0.2492 0.2482 0.9986
Se6 Se 0.7507 0.7520 0.5014
Se7 Se 0.7495 0.2482 0.4990
Se8 Se 0.7495 0.2482 0.9986
```

Raw total energy ... -90.69 eV/f.u.
Density ... 7.7 g cm⁻³
V ... 24.3 Å³/atom

=====

A relaxed structure of Ca2TbDySe4, computed with PBE.

```
data_Ca2TbDySe4
_space_group_name_H-M_alt 'P 1'
_space_group_IT_number 1
_cell_length_a 4.1117
_cell_length_b 7.1160
_cell_length_c 7.2485
_cell_angle_alpha 109.15
_cell_angle_beta 90.00
_cell_angle_gamma 90.00
loop_
_space_group_symop_operation_xyz
'x,y,z'
loop_
_atom_site_label
_atom_site_type_symbol
_atom_site_fract_x
_atom_site_fract_y
_atom_site_fract_z
Ca1 Ca 0.5000 0.0000 0.5000
Ca2 Ca 0.0000 0.5000 0.5000
Tb1 Tb 0.0000 0.0000 0.0000
Dy1 Dy 0.5000 0.5000 0.0000
Se1 Se 0.5000 0.2500 0.2466
Se2 Se 0.5000 0.7500 0.7534
Se3 Se 0.0000 0.2520 0.7540
Se4 Se 0.0000 0.7480 0.2460
```

Raw total energy ... -42.19 eV/f.u.
Density ... 5.9 g cm⁻³
V ... 25.0 Å³/atom

=====

A relaxed structure of CaTbDy2Se4, computed with PBE.

```
data_CaTbDy2Se4
_space_group_name_H-M_alt 'P 1'
_space_group_IT_number 1
_cell_length_a 4.0870
_cell_length_b 7.1126
_cell_length_c 7.1203
_cell_angle_alpha 70.85
_cell_angle_beta 90.00
_cell_angle_gamma 90.00
loop_
_space_group_symop_operation_xyz
'x,y,z'
loop_
_atom_site_label
_atom_site_type_symbol
_atom_site_fract_x
_atom_site_fract_y
_atom_site_fract_z
Ca1 Ca 0.0000 0.5000 0.5000
Tb1 Tb 0.5000 0.5000 0.0000
Dy1 Dy 0.0000 0.0000 0.0000
Dy2 Dy 0.5000 0.0000 0.5000
Se1 Se 0.0000 0.7515 0.7490
Se2 Se 0.0000 0.2485 0.2510
Se3 Se 0.5000 0.7527 0.2486
Se4 Se 0.5000 0.2473 0.7514
```

Raw total energy ... -44.28 eV/f.u.
Density ... 7.1 g cm⁻³
V ... 24.4 Å³/atom